{
  "formula": "CoC2",
  "functional": "PBE-GGA",
  "state": "optimized geometry",
  "lattice_angstrom": [[1.348, -6.682, 0.000], [1.348, 6.682, 0.000], [0.000, 0.000, 2.573]],
  "species": ["Co", "Co", "C", "C", "C", "C"],
  "fractional_positions": [[0.858, 0.142, 0.250], [0.142, 0.858, 0.750], [0.527, 0.473, 0.750], [0.473, 0.527, 0.250], [0.752, 0.248, 0.750], [0.248, 0.752, 0.250]],
  "space_group": "Cmcm (63)",
  "formation_enthalpy_0k_ev_per_atom": 0.985,
  "e_tot_ev_per_atom": -7.533,
  "de_polymorph_ev_per_atom": 0.494
}